{"formula": "CeHoCI", "functional": "PBE-GGA", "state": "relaxed", "lattice": [[1.879, 1.085, 7.657], [-1.879, 1.085, 7.657], [0.000, -2.170, 7.657]], "species": ["Ce", "Ho", "C", "I"], "frac_coords": [[0.000, 0.000, 0.000], [0.782, 0.782, 0.782], [0.394, 0.394, 0.394], [0.218, 0.218, 0.218]], "dos_at_fermi_per_ev_cell": 4.81, "e_form_raw_ev_per_atom": -0.69}